# 1
A relaxed Cd2NiOs crystal. Source: Alexandria via LeMat-Bulk, functional PBE.

Cell and atoms, written as extended XYZ:
```
4
Lattice="5.4632 0.0051 0.0056 2.6346 4.7860 -0.0056 -3.3894 -3.5102 2.4571" Properties=species:S:1:pos:R:3 pbc="T T T"
Cd 4.1950 2.4820 0.0000
Cd 7.9518 4.7047 0.0000
Os 1.6470 1.8357 1.2258
Ni 3.0614 -0.5548 1.2313
```

Fermi-level density of states = 3.4 states/eV per cell
energy of formation from the pure elements = 519 meV per atom
ρ = 12.3 Mg/m³

***

# 2
A relaxed CdNiOs4 crystal. Source: Alexandria via LeMat-Bulk, functional PBE.

Cell and atoms, written as extended XYZ:
```
6
Lattice="0.0000 3.6554 3.6554 3.6554 0.0000 3.6554 3.6554 3.6554 0.0000" Properties=species:S:1:pos:R:3 pbc="T T T"
Os 2.7378 4.5730 2.7378
Os 4.5730 2.7378 2.7378
Os 4.5730 4.5730 4.5730
Os 2.7378 2.7378 4.5730
Cd 1.8277 1.8277 1.8277
Ni 0.0000 0.0000 0.0000
```

Fermi-level density of states = 8.6 states/eV per cell
energy of formation from the pure elements = 858 meV per atom
ρ = 15.8 Mg/m³

***

# 3
A relaxed Cd2NiOs crystal. Source: Alexandria via LeMat-Bulk, functional PBE.

Cell and atoms, written as extended XYZ:
```
4
Lattice="2.8653 0.0000 0.0000 0.0000 2.8692 0.0045 0.0000 2.8659 8.0486" Properties=species:S:1:pos:R:3 pbc="T T T"
Cd 1.4327 1.4369 2.3180
Cd 0.0000 2.8634 7.8523
Ni 0.0000 2.8675 4.2377
Os 1.4327 4.3008 5.7201
```

Fermi-level density of states = 3.6 states/eV per cell
energy of formation from the pure elements = 292 meV per atom
ρ = 11.9 Mg/m³

***

# 4
A relaxed Cd3NiOs crystal. Source: Alexandria via LeMat-Bulk, functional PBE.

Cell and atoms, written as extended XYZ:
```
5
Lattice="4.7471 0.0000 0.0000 0.0000 4.7471 0.0000 0.0000 0.0000 4.7471" Properties=species:S:1:pos:R:3 pbc="T T T"
Cd 2.3736 0.0000 0.0000
Cd 0.0000 2.3736 0.0000
Cd 0.0000 0.0000 2.3736
Os 2.3736 2.3736 2.3736
Ni 0.0000 0.0000 0.0000
```

Fermi-level density of states = 3.1 states/eV per cell
energy of formation from the pure elements = 1213 meV per atom
ρ = 9.1 Mg/m³

***

Q: Which of these has the highest ρ?
A: CdNiOs4